[1]
A plane-wave DFT calculation with PBE-GGA was carried out for crystalline Cs3CaIr at its relaxed geometry.

POSCAR file:
```
Cs3CaIr
1.0
-2.037 4.149 -4.709
-4.289 -4.535 -2.140
-4.582 2.400 4.097
Ir Ca Cs
1 1 3
Cartesian
0.000 0.000 0.000 Ir
-5.454 1.008 -1.376 Ca
-1.018 2.075 -2.355 Cs
-2.291 1.200 2.049 Cs
-2.145 -2.267 -1.070 Cs
```

Values from the calculation:
- formation enthalpy at 0 K (eV per atom) = 0.76
- space-group type = Pm-3m (221)

=====

[2]
A plane-wave DFT calculation with PBE-GGA was carried out for crystalline CsCaIr2 at its relaxed geometry.

POSCAR file:
```
CsCaIr2
1.0
0.000 3.588 3.588
3.588 0.000 3.588
3.588 3.588 0.000
Cs Ir Ca
1 2 1
Cartesian
3.588 3.588 3.588 Cs
5.382 5.382 5.382 Ir
1.794 1.794 1.794 Ir
0.000 0.000 0.000 Ca
```

Values from the calculation:
- formation enthalpy at 0 K (eV per atom) = 1.10
- space-group type = Fm-3m (225)
- excess energy over the best structure of this formula in the dataset (kcal/mol of atoms) = 10.76

=====

[3]
A plane-wave DFT calculation with PBE-GGA was carried out for crystalline CsCa3Ir at its relaxed geometry.

POSCAR file:
```
CsCa3Ir
1.0
5.787 0.000 0.000
0.000 5.787 0.000
0.000 0.000 5.787
Ca Cs Ir
3 1 1
Cartesian
0.000 2.894 0.000 Ca
0.000 0.000 2.894 Ca
2.894 0.000 0.000 Ca
2.894 2.894 2.894 Cs
0.000 0.000 0.000 Ir
```

Values from the calculation:
- formation enthalpy at 0 K (eV per atom) = -0.06
- space-group type = Pm-3m (221)
- excess energy over the best structure of this formula in the dataset (kcal/mol of atoms) = 0.00

=====

[4]
A plane-wave DFT calculation with PBE-GGA was carried out for crystalline CsCaLa2Ir at its relaxed geometry.

POSCAR file:
```
CsCaLa2Ir
1.0
5.719 0.000 0.000
0.000 5.719 0.000
0.000 0.000 6.084
Ca Ir La Cs
1 1 2 1
Cartesian
0.000 0.000 3.042 Ca
0.000 0.000 0.000 Ir
2.859 0.000 0.000 La
0.000 2.859 0.000 La
2.859 2.859 3.042 Cs
```

Values from the calculation:
- formation enthalpy at 0 K (eV per atom) = -0.15
- space-group type = P4/mmm (123)

=====

[5]
A plane-wave DFT calculation with PBE-GGA was carried out for crystalline CsLiCa2Ir at its relaxed geometry.

POSCAR file:
```
CsLiCa2Ir
1.0
5.604 0.000 0.000
0.000 5.604 0.000
0.000 0.000 5.588
Ca Cs Li Ir
2 1 1 1
Cartesian
0.000 2.802 0.000 Ca
2.802 0.000 0.000 Ca
2.802 2.802 2.794 Cs
0.000 0.000 2.794 Li
0.000 0.000 0.000 Ir
```

Values from the calculation:
- formation enthalpy at 0 K (eV per atom) = 0.09
- space-group type = P4/mmm (123)

=====

[6]
A plane-wave DFT calculation with PBE-GGA was carried out for crystalline CsCaMoIr2 at its relaxed geometry.

POSCAR file:
```
CsCaMoIr2
1.0
-0.626 2.527 -4.341
3.044 -3.550 -2.506
-4.098 -2.786 -1.031
Ir Cs Mo Ca
2 1 1 1
Cartesian
-2.049 -1.393 -0.515 Ir
-0.313 1.263 -2.170 Ir
0.000 0.000 0.000 Cs
-0.840 -1.905 -3.939 Mo
1.522 -1.775 -1.253 Ca
```

Values from the calculation:
- formation enthalpy at 0 K (eV per atom) = 2.56
- space-group type = P4/mmm (123)